[1]
TaReNi2 | Alexandria | SCAN | PBEsol geometry; size of the total moment = 0.0 μB per formula unit; crystal system = tetragonal; DFT formation energy = 0.03 eV per atom; SG = No. 123
1.0
-3.0982 0.3933 -0.6025
-0.2059 -3.0367 -0.9233
-1.1330 -1.4140 4.9035
Ni Re Ta
2 1 1
Direct
0.0000 0.0000 0.7525
0.0000 0.0000 0.2475
0.5000 0.5000 0.0000
0.5000 0.5000 0.5000


[2]
Re2TcNi | Alexandria | SCAN | PBEsol geometry; size of the total moment = 0.0 μB per formula unit; crystal system = tetragonal; DFT formation energy = 0.11 eV per atom; SG = No. 123
1.0
-0.3268 -0.9639 2.4804
-2.4526 -0.8606 -0.6576
2.8833 -6.5594 -2.1692
Ni Re Tc
1 2 1
Direct
0.5000 0.5000 0.5000
0.0000 0.0000 0.2597
0.0000 0.0000 0.7403
0.5000 0.5000 0.0000


[3]
Re2TcNi | Alexandria | SCAN | PBEsol geometry; size of the total moment = 0.0 μB per formula unit; crystal system = tetragonal; DFT formation energy = 0.11 eV per atom; SG = No. 99
1.0
-2.1468 -0.6251 1.4894
0.9993 -2.4603 0.4078
3.5295 2.4469 6.1143
Re Ni Tc
2 1 1
Direct
0.5000 0.5000 0.2539
0.0000 0.0000 0.9868
0.5000 0.5000 0.7510
0.0000 0.0000 0.5083


[4]
ReTcNi2 | Alexandria | SCAN | PBEsol geometry; size of the total moment = 0.0 μB per formula unit; crystal system = tetragonal; DFT formation energy = -0.01 eV per atom; SG = No. 119
1.0
3.6842 0.0000 0.0000
0.0000 3.6842 0.0000
-1.8421 -1.8421 3.6399
Ni Tc Re
2 1 1
Direct
0.0000 0.0000 0.0000
0.2500 0.7500 0.5000
0.7500 0.2500 0.5000
0.5000 0.5000 0.0000


[5]
ReTc2Ni | Alexandria | SCAN | PBEsol geometry; size of the total moment = 0.0 μB per formula unit; crystal system = tetragonal; DFT formation energy = 0.10 eV per atom; SG = No. 99
1.0
2.6656 0.0000 0.0000
0.0000 2.6656 0.0000
0.0000 0.0000 7.4822
Tc Ni Re
2 1 1
Direct
0.5000 0.5000 0.2564
0.0000 0.0000 0.0048
0.0000 0.0000 0.5008
0.5000 0.5000 0.7381


[6]
ReTcNi2 | Alexandria | SCAN | PBEsol geometry; size of the total moment = 0.0 μB per formula unit; crystal system = cubic; DFT formation energy = 0.33 eV per atom; SG = No. 225
1.0
-3.0605 -0.1124 2.7514
-1.9841 -3.5329 0.7289
0.5258 -1.9544 3.5851
Tc Ni Re
1 2 1
Direct
0.5000 0.5000 0.5000
0.2500 0.2500 0.2500
0.7500 0.7500 0.7500
0.0000 0.0000 0.0000


[7]
Re2TcNi | Alexandria | SCAN | PBEsol geometry; size of the total moment = 0.0 μB per formula unit; crystal system = tetragonal; DFT formation energy = 0.13 eV per atom; SG = No. 123
1.0
-0.7755 0.5986 -2.9557
2.5878 -1.4348 -0.9696
-2.7674 -4.8219 -0.2505
Re Ni Tc
2 1 1
Direct
0.0000 0.0000 0.2757
0.0000 0.0000 0.7243
0.5000 0.5000 0.5000
0.5000 0.5000 0.0000


[8]
Re2TcNi | Alexandria | SCAN | PBEsol geometry; size of the total moment = 0.0 μB per formula unit; crystal system = tetragonal; DFT formation energy = 0.01 eV per atom; SG = No. 139
1.0
3.7843 0.0000 0.0000
0.0000 3.7843 0.0000
-1.8922 -1.8922 3.7530
Tc Re Ni
1 2 1
Direct
0.0000 0.0000 0.0000
0.2500 0.7500 0.5000
0.7500 0.2500 0.5000
0.5000 0.5000 0.0000